LiPI2N (GGA-PBEsol, relaxed); energy = -3.901 eV/atom; DOS(E_F) = 2.25 states/eV/cell
1.0
-1.0212 0.6674 3.1728
-5.4431 -1.3757 -1.4625
0.9969 -5.5198 1.4820
I Li P N
2 1 1 1
Direct
0.0000 0.5000 0.0000
0.0000 0.0000 0.5000
0.5000 0.5000 0.5000
0.0000 0.0000 0.0000
0.5000 0.0000 0.0000

=====

CrCuPb2 (GGA-PBEsol, relaxed); energy above the most stable polymorph in this dataset = 0 meV/atom; DOS(E_F) = 2.22 states/eV/cell; ΔE_f = 0.50 eV/atom
1.0
3.2284 0.0000 0.0000
0.0000 4.8164 -0.0277
-1.6142 -1.6779 5.2464
Pb Cr Cu
2 1 1
Direct
0.0144 0.0520 0.0287
0.2305 0.6929 0.4610
0.4707 0.5204 0.9414
0.7844 0.2347 0.5689

=====

Sr3SiNi (GGA-PBEsol, relaxed); energy = -3.527 eV/atom; DOS(E_F) = 2.18 states/eV/cell
1.0
5.4161 0.0000 0.0000
-2.7080 5.7324 -0.0760
0.0000 2.6214 4.7394
Si Ni Sr
1 1 3
Direct
0.4300 0.8600 0.5700
0.6460 0.2920 0.3540
0.7444 0.4887 0.7556
0.2444 0.4887 0.2556
0.9810 0.9620 0.0190

=====

- Look up the DOS(E_F) of the third one.
  2.18 states/eV/cell